Record 1
First-principles (PBE) data for an optimized crystal structure of MoPb2W, as listed in the Alexandria database.

Geometry as POSCAR:
```
MoPb2W
1.0
3.286 0.000 0.000
0.000 3.286 0.000
0.000 0.000 8.633
Mo Pb W
1 2 1
direct
0.000 0.000 0.000
0.000 0.000 0.612
0.500 0.500 0.240
0.500 0.500 0.856
```

**ΔE_f**: 1.6 eV per formula unit
**Total magnetization**: 0.00 μB/f.u.

***

Record 2
First-principles (PBE) data for an optimized crystal structure of LiCd8Au6, as listed in the Alexandria database.

Geometry as POSCAR:
```
LiCd8Au6
1.0
4.049 2.338 5.693
-4.049 2.338 5.693
0.000 -4.676 5.693
Li Cd Au
1 8 6
direct
0.000 0.000 0.000
0.120 0.450 0.788
0.212 0.880 0.550
0.334 0.334 0.334
0.450 0.788 0.120
0.550 0.212 0.880
0.666 0.666 0.666
0.788 0.120 0.450
0.880 0.550 0.212
0.050 0.728 0.372
0.272 0.628 0.950
0.372 0.050 0.728
0.628 0.950 0.272
0.728 0.372 0.050
0.950 0.272 0.628
```

**ΔE_f**: -3.3 eV per formula unit
**Total magnetization**: 0.00 μB/f.u.

***

Record 3
First-principles (PBE) data for an optimized crystal structure of LaZn3Rh3, as listed in the Alexandria database.

Geometry as POSCAR:
```
LaZn3Rh3
1.0
6.718 0.000 0.000
0.000 6.718 0.000
0.000 0.000 6.718
La Zn Rh
2 6 6
direct
0.000 0.000 0.000
0.500 0.500 0.500
0.000 0.250 0.500
0.000 0.750 0.500
0.250 0.500 0.000
0.500 0.000 0.250
0.500 0.000 0.750
0.750 0.500 0.000
0.000 0.500 0.250
0.000 0.500 0.750
0.250 0.000 0.500
0.500 0.250 0.000
0.500 0.750 0.000
0.750 0.000 0.500
```

**ΔE_f**: 0.5 eV per formula unit
**Total magnetization**: 0.00 μB/f.u.

***

Question: Look up the ΔE_f of the second one.
Answer: -3.3 eV per formula unit

***

Please write out number 2 again, unchanged.
First-principles (PBE) data for an optimized crystal structure of LiCd8Au6, as listed in the Alexandria database.

Geometry as POSCAR:
```
LiCd8Au6
1.0
4.049 2.338 5.693
-4.049 2.338 5.693
0.000 -4.676 5.693
Li Cd Au
1 8 6
direct
0.000 0.000 0.000
0.120 0.450 0.788
0.212 0.880 0.550
0.334 0.334 0.334
0.450 0.788 0.120
0.550 0.212 0.880
0.666 0.666 0.666
0.788 0.120 0.450
0.880 0.550 0.212
0.050 0.728 0.372
0.272 0.628 0.950
0.372 0.050 0.728
0.628 0.950 0.272
0.728 0.372 0.050
0.950 0.272 0.628
```

**ΔE_f**: -3.3 eV per formula unit
**Total magnetization**: 0.00 μB/f.u.